Crystalline Sr4CrNi at its relaxed geometry. Source: the Alexandria database, functional PBE.

Cell lengths 6.9657, 6.9657, 6.9657 Å; angles 60.00, 60.00, 60.00 degrees
Site moments in Bohr magnetons follow the coordinates.
Positions (direct):
Cr1 0.7500 0.7500 0.7500  4.11
Sr1 0.3748 0.8757 0.3748  0.00
Sr2 0.3748 0.3748 0.3748  0.00
Sr3 0.3748 0.3748 0.8757  0.00
Sr4 0.8757 0.3748 0.3748  0.00
Ni1 0.0000 0.0000 0.0000  0.48

energy of formation from the pure elements: 1.12 eV/atom